VASP calculation (GGA-PBE) on a relaxed structure of TbCe2Cd.

Cell lengths 5.4776, 5.4776, 5.4776 Å; angles 60.00, 60.00, 60.00 degrees
Fractional positions:
Tb1 0.0000 0.0000 0.0000
Ce1 0.2500 0.2500 0.2500
Ce2 0.7500 0.7500 0.7500
Cd1 0.5000 0.5000 0.5000

Energy = -4.261 eV/atom
D(E_F) = 13.244 states/eV/cell
Energy of formation = 0.09 eV/atom

***

VASP calculation (GGA-PBE) on a relaxed structure of TbCe2Cd.

Cell lengths 3.3100, 3.3100, 10.2798 Å; angles 90.00, 90.00, 90.00 degrees
Fractional positions:
Tb1 0.0000 0.0000 0.0000
Ce1 0.5000 0.5000 0.2638
Ce2 0.5000 0.5000 0.7362
Cd1 0.0000 0.0000 0.5000

Energy = -4.350 eV/atom
D(E_F) = 10.296 states/eV/cell
Energy of formation = 0.00 eV/atom

***

VASP calculation (GGA-PBE) on a relaxed structure of TbCe2Cd.

Cell lengths 12.6121, 12.6121, 12.6121 Å; angles 15.05, 15.05, 15.05 degrees
Fractional positions:
Tb1 0.0000 0.0000 0.0000
Ce1 0.4116 0.4116 0.4116
Ce2 0.5884 0.5884 0.5884
Cd1 0.5000 0.5000 0.5000

Energy = -4.125 eV/atom
D(E_F) = 9.581 states/eV/cell
Energy of formation = 0.23 eV/atom

***

VASP calculation (GGA-PBE) on a relaxed structure of TbCeCd5.

Cell lengths 5.5798, 5.5798, 6.7849 Å; angles 99.39, 99.39, 111.83 degrees
Fractional positions:
Tb1 0.0000 0.0000 0.0000
Ce1 0.5000 0.5000 0.5000
Cd1 0.0021 0.5729 0.2685
Cd2 0.4271 0.9979 0.7315
Cd3 0.5000 0.5000 0.0000
Cd4 0.5729 0.0021 0.2685
Cd5 0.9979 0.4271 0.7315

Energy = -2.221 eV/atom
D(E_F) = 9.747 states/eV/cell
Energy of formation = -0.06 eV/atom

***

VASP calculation (GGA-PBE) on a relaxed structure of Tb5CeCd6.

Cell lengths 9.2106, 9.2106, 9.2106 Å; angles 146.54, 131.22, 60.45 degrees
Fractional positions:
Tb1 0.0000 0.0000 0.0000
Tb2 0.1687 0.6687 0.5000
Tb3 0.3385 0.3385 0.0000
Tb4 0.6615 0.6615 0.0000
Tb5 0.8313 0.3313 0.5000
Ce1 0.5000 0.0000 0.5000
Cd1 0.0726 0.8300 0.2427
Cd2 0.2357 0.5000 0.7357
Cd3 0.4127 0.1700 0.2427
Cd4 0.5873 0.8300 0.7573
Cd5 0.7643 0.5000 0.2643
Cd6 0.9274 0.1700 0.7573

Energy = -3.161 eV/atom
D(E_F) = 19.791 states/eV/cell
Energy of formation = -0.28 eV/atom

***

VASP calculation (GGA-PBE) on a relaxed structure of Tb2CeCd.

Cell lengths 12.1294, 12.1294, 12.1294 Å; angles 16.28, 16.28, 16.28 degrees
Fractional positions:
Tb1 0.0892 0.0892 0.0892
Tb2 0.9108 0.9108 0.9108
Ce1 0.5000 0.5000 0.5000
Cd1 0.0000 0.0000 0.0000

Energy = -3.845 eV/atom
D(E_F) = 6.522 states/eV/cell
Energy of formation = 0.18 eV/atom